CaSmNCl | PBE | relaxed

- Density: 5.069 g cm⁻³
- Crystal system: trigonal
- Symmetry: R3m (160)
- E_tot: -5.72 eV/atom
- V: 19.6 A^3/atom

Cell lengths 3.6346, 3.6345, 7.1823 Å; angles 90.00, 104.66, 120.00 degrees
Atoms (fractional coordinates):
Ca 0.0962 0.9460 0.0575
Sm 0.5108 0.1533 0.6793
N 0.3063 0.5511 0.8727
Cl 0.9647 0.3804 0.3602



Ca2SmN2Cl2 | PBE | relaxed

- Density: 3.744 g cm⁻³
- Crystal system: tetragonal
- Symmetry: I4/mmm (139)
- E_tot: -5.51 eV/atom
- V: 20.9 A^3/atom

Cell lengths 4.5129, 4.5129, 7.8517 Å; angles 106.70, 106.70, 90.00 degrees
Atoms (fractional coordinates):
Ca 0.3926 0.3926 0.7853
Ca 0.6074 0.6074 0.2147
Sm 0.0000 0.0000 0.0000
N 0.0000 0.5000 0.0000
N 0.5000 0.0000 0.0000
Cl 0.1952 0.1952 0.3904
Cl 0.8048 0.8048 0.6096



Sr3CaN2Cl2 | PBE | relaxed

- Density: 3.702 g cm⁻³
- Crystal system: monoclinic
- Symmetry: Cm (8)
- E_tot: -4.87 eV/atom
- V: 22.5 A^3/atom

Cell lengths 7.3570, 7.3570, 6.6737 Å; angles 81.36, 81.36, 30.34 degrees
Atoms (fractional coordinates):
Sr 0.8493 0.8493 0.3824
Sr 0.1567 0.1567 0.6156
Sr 0.6543 0.6543 0.1140
Ca 0.3385 0.3385 0.8898
N 0.7540 0.7540 0.7551
N 0.2522 0.2522 0.2426
Cl 0.4998 0.4998 0.5079
Cl 0.9951 0.9951 0.9926



Ca5TcN4Cl2 | PBE | relaxed

- Density: 3.256 g cm⁻³
- Crystal system: orthorhombic
- Symmetry: Amm2 (38)
- E_tot: -5.79 eV/atom
- V: 18.1 A^3/atom

Cell lengths 6.1233, 5.4408, 7.8768 Å; angles 90.00, 90.00, 124.24 degrees
Atoms (fractional coordinates):
Ca 0.0892 0.3901 0.1881
Ca 0.5160 0.0000 0.5000
Ca 0.0892 0.3901 0.8119
Ca 0.6991 0.6099 0.8119
Ca 0.6991 0.6099 0.1881
Tc 0.4344 0.0000 0.0000
N 0.6012 0.0000 0.2083
N 0.6012 0.0000 0.7917
N 0.3406 0.3025 0.0000
N 0.0381 0.6975 0.0000
Cl 0.9618 0.6261 0.5000
Cl 0.3357 0.3739 0.5000



CaTlNCl2 | PBE | relaxed

- Density: 4.239 g cm⁻³
- Crystal system: tetragonal
- Symmetry: P4/mmm (123)
- E_tot: -3.45 eV/atom
- V: 25.8 A^3/atom

Cell lengths 5.4266, 4.3816, 5.4266 Å; angles 90.00, 90.00, 90.00 degrees
Atoms (fractional coordinates):
Tl 0.5000 0.5000 0.5000
N 0.0000 0.0000 0.0000
Ca 0.0000 0.5000 0.0000
Cl 0.0000 0.0000 0.5000
Cl 0.5000 0.0000 0.0000



Ca2TmN2Cl2 | PBE | relaxed

- Density: 4.219 g cm⁻³
- Crystal system: tetragonal
- Symmetry: I4/mmm (139)
- E_tot: -5.60 eV/atom
- V: 19.6 A^3/atom

Cell lengths 4.3609, 4.3609, 7.8348 Å; angles 106.16, 106.16, 90.00 degrees
Atoms (fractional coordinates):
Ca 0.3921 0.3921 0.7842
Ca 0.6079 0.6079 0.2158
Tm 0.0000 0.0000 0.0000
N 0.0000 0.5000 0.0000
N 0.5000 0.0000 0.0000
Cl 0.1892 0.1892 0.3785
Cl 0.8108 0.8108 0.6215



Ca5VN4Cl2 | PBE | relaxed

- Density: 2.931 g cm⁻³
- Crystal system: orthorhombic
- Symmetry: Amm2 (38)
- E_tot: -5.92 eV/atom
- V: 17.9 A^3/atom

Cell lengths 6.0156, 5.5236, 7.6889 Å; angles 90.00, 90.00, 122.99 degrees
Atoms (fractional coordinates):
Ca 0.0702 0.3657 0.1981
Ca 0.5213 0.0000 0.5000
Ca 0.0702 0.3657 0.8019
Ca 0.7045 0.6343 0.8019
Ca 0.7045 0.6343 0.1981
V 0.3986 0.0000 0.0000
N 0.5849 0.0000 0.1951
N 0.5849 0.0000 0.8049
N 0.3698 0.3205 0.0000
N 0.0493 0.6795 0.0000
Cl 0.9764 0.6052 0.5000
Cl 0.3712 0.3948 0.5000



Ca2WNCl | PBE | relaxed

- Density: 4.506 g cm⁻³
- Crystal system: tetragonal
- Symmetry: P4/mmm (123)
- E_tot: -4.23 eV/atom
- V: 23.1 A^3/atom

Cell lengths 5.3382, 4.0536, 5.3382 Å; angles 90.00, 90.00, 90.00 degrees
Atoms (fractional coordinates):
Ca 0.0000 0.0000 0.5000
Ca 0.5000 0.0000 0.0000
N 0.0000 0.5000 0.0000
W 0.5000 0.5000 0.5000
Cl 0.0000 0.0000 0.0000